[1]
This record from Alexandria via LeMat-Bulk describes a relaxed structure of IrPd2PtSe6. The functional is PBE.

Geometry as POSCAR:
```
IrPd2PtSe6
1.0
6.2392 -5.5106 0.0000
6.2392 5.5106 0.0000
-2.0544 0.0000 6.2777
Ir Pd Pt Se
2 4 2 12
Cartesian
4.6984 4.5507 4.7083
5.7256 -4.5507 1.5694
2.5267 1.0975 4.0398
3.5539 -1.0975 0.9010
6.8700 1.0975 5.3767
7.8973 -1.0975 2.2379
5.7256 2.6001 1.5694
4.6984 -2.6001 4.7083
-0.0094 0.9827 4.0211
2.8587 3.1057 5.4284
1.0178 -0.9827 0.8822
4.2609 0.7367 2.4265
6.5381 3.1057 3.9882
3.2337 -0.7367 5.5654
7.1903 0.7367 0.7123
3.8859 -3.1057 2.2895
6.1631 -0.7367 3.8512
9.4061 0.9827 5.3955
7.5653 -3.1057 0.8493
10.4333 -0.9827 2.2566
```

- Formation energy (no corrections): -0.21 eV/atom
- Total energy: -4.8306 eV/atom
- Crystal system: monoclinic
- Size of the total moment: 0.00 μB/f.u.



[2]
This record from Alexandria via LeMat-Bulk describes a relaxed structure of HfBAu. The functional is PBE.

Geometry as POSCAR:
```
HfBAu
1.0
3.1628 0.0000 0.0000
-1.5619 3.9933 0.0000
-0.0070 -0.9984 7.6375
Hf B Au
2 2 2
Cartesian
0.0000 0.0000 0.0000
0.0162 2.3908 5.0742
0.0113 1.2625 7.1628
1.5913 0.7506 6.5526
0.0261 2.4290 1.8709
1.6017 0.6759 3.5454
```

- Formation energy: -0.292 eV/atom
- Total energy: -6.9278 eV/atom
- Crystal system: triclinic
- Size of the total moment: 0.00 μB/f.u.



[3]
This record from Alexandria via LeMat-Bulk describes a relaxed structure of Mg3ZrPd12. The functional is PBE.

Geometry as POSCAR:
```
Mg3ZrPd12
1.0
4.0035 0.0000 0.0000
0.0000 4.0035 0.0000
0.0000 0.0000 15.8320
Mg Zr Pd
3 1 12
Cartesian
0.0000 0.0000 0.0000
0.0000 0.0000 3.8969
0.0000 0.0000 11.9350
0.0000 0.0000 7.9160
0.0000 2.0018 1.9531
0.0000 2.0018 5.9094
0.0000 2.0018 9.9226
0.0000 2.0018 13.8789
2.0018 0.0000 1.9531
2.0018 0.0000 5.9094
2.0018 0.0000 9.9226
2.0018 0.0000 13.8789
2.0018 2.0018 0.0000
2.0018 2.0018 3.9294
2.0018 2.0018 7.9160
2.0018 2.0018 11.9025
```

- Formation energy: -0.563 eV/atom
- Total energy: -5.2906 eV/atom
- Crystal system: tetragonal
- Size of the total moment: 0.00 μB/f.u.



[4]
This record from Alexandria via LeMat-Bulk describes a relaxed structure of KBaNb. The functional is PBE.

Geometry as POSCAR:
```
KBaNb
1.0
6.1737 0.0000 0.0000
-3.0868 5.3465 0.0000
0.0000 0.0000 9.1330
K Ba Nb
2 2 2
Cartesian
0.0000 0.0000 0.0000
0.0000 0.0000 4.5665
3.0868 1.7822 2.0284
3.0868 1.7822 7.1046
0.0000 3.5644 1.0739
0.0000 3.5644 8.0592
```

- Distance to the lowest polymorph of the same formula: 157 kJ/mol of formula units
- Formation energy: 0.945 eV/atom
- Total energy: -3.4183 eV/atom
- Crystal system: hexagonal
- Size of the total moment: 0.00 μB/f.u.



[5]
This record from Alexandria via LeMat-Bulk describes a relaxed structure of YPuGa2. The functional is PBE.

Geometry as POSCAR:
```
YPuGa2
1.0
1.7771 1.0260 9.0929
-1.7771 1.0260 9.0929
0.0000 -2.0520 9.0929
Y Pu Ga
1 1 2
Cartesian
0.0000 0.0000 0.0000
0.0000 0.0000 13.6393
0.0000 0.0000 6.8527
0.0000 0.0000 20.4260
```

- Distance to the lowest polymorph of the same formula: 73 kJ/mol of formula units
- Formation energy: -0.230 eV/atom
- Total energy: -6.9421 eV/atom
- Crystal system: trigonal
- Size of the total moment: 5.54 μB/f.u.



[6]
This record from Alexandria via LeMat-Bulk describes a relaxed structure of SrY2Cd2. The functional is PBE.

Geometry as POSCAR:
```
SrY2Cd2
1.0
-2.4472 2.4472 7.1237
2.4472 -2.4472 7.1237
2.4472 2.4472 -7.1237
Sr Y Cd
1 2 2
Cartesian
0.0000 0.0000 0.0000
0.0000 0.0000 5.4074
0.0000 0.0000 8.8400
2.4472 0.0000 3.5619
0.0000 2.4472 3.5619
```

- Distance to the lowest polymorph of the same formula: 132 kJ/mol of formula units
- Formation energy: 0.104 eV/atom
- Total energy: -3.1845 eV/atom
- Crystal system: tetragonal
- Size of the total moment: 0.45 μB/f.u.



[7]
This record from Alexandria via LeMat-Bulk describes a relaxed structure of TaSn2Au. The functional is PBE.

Geometry as POSCAR:
```
TaSn2Au
1.0
-3.8404 3.8404 3.0471
3.8404 -3.8404 3.0471
3.8404 3.8404 -3.0471
Ta Sn Au
2 4 2
Cartesian
0.0000 0.0000 0.0000
0.0000 3.8404 1.5236
1.9202 -1.8210 2.2853
2.0193 1.9202 0.7618
1.9202 5.6614 -0.7618
1.8210 1.9202 3.8089
3.8404 0.0000 1.5236
0.0000 0.0000 3.0471
```

- Distance to the lowest polymorph of the same formula: 22 kJ/mol of formula units
- Formation energy: 0.473 eV/atom
- Total energy: -5.3109 eV/atom
- Crystal system: tetragonal
- Size of the total moment: 0.00 μB/f.u.



[8]
This record from Alexandria via LeMat-Bulk describes a relaxed structure of HoCdPtO4. The functional is PBE.

Geometry as POSCAR:
```
HoCdPtO4
1.0
-3.4192 3.5427 4.1074
3.4192 -3.5427 4.1074
3.4192 3.5427 -4.1074
Ho Cd Pt O
2 2 2 8
Cartesian
-1.7096 1.7713 2.0537
1.7096 1.7713 2.0537
3.4192 1.7713 -1.2407
0.0000 1.7713 5.3480
0.0000 0.0000 0.0000
0.0000 3.5427 0.0000
1.3202 1.7713 -0.2014
2.0990 -1.7713 3.9059
0.0000 0.2910 2.0569
3.4192 0.2910 2.0504
0.0000 3.2517 2.0569
3.4192 3.2517 2.0504
1.3202 5.3140 0.2014
2.0990 1.7713 4.3088
```

- Formation energy (no corrections): -1.62 eV/atom
- Total energy: -6.0982 eV/atom
- Crystal system: orthorhombic
- Size of the total moment: 0.00 μB/f.u.